1.
Material: Y5Tl2Os2
Method: DFT, GGA-PBE
State: optimized geometry

The structure belongs to space group Cmce (No. 64); the cell edges are 16.622, 7.518 and 7.591 Å and the angles 90.00°, 90.00° and 90.00°. Symmetry generates all atoms from Y at (0.000, 0.000, 0.000), Y at (0.119, 0.182, 0.320), Tl at (0.225, 0.000, 0.000) and Os at (0.000, 0.113, 0.618).

2.
Material: Sr6LiAu3
Method: DFT, GGA-PBE
State: optimized geometry

The structure belongs to space group P2_1/m (No. 11); the cell edges are 12.010, 4.621 and 14.351 Å and the angles 90.00°, 111.80° and 90.00°. Symmetry generates all atoms from Sr at (0.020, 0.250, 0.394), Sr at (0.064, 0.250, 0.907), Sr at (0.238, 0.750, 0.322), Sr at (0.335, 0.750, 0.802), Sr at (0.337, 0.750, 0.087), Sr at (0.386, 0.250, 0.570), Li at (0.406, 0.250, 0.275), Au at (0.161, 0.250, 0.154), Au at (0.195, 0.750, 0.532) and Au at (0.412, 0.250, 0.969).

3.
Material: NaLi2CuGe
Method: DFT, GGA-PBE
State: optimized geometry

The structure belongs to space group P4/mmm (No. 123); the cell edges are 4.863, 4.863 and 4.461 Å and the angles 90.00°, 90.00° and 90.00°. Symmetry generates all atoms from Na at (0.000, 0.000, 0.000), Li at (0.000, 0.500, 0.500), Cu at (0.500, 0.500, 0.500) and Ge at (0.500, 0.500, 0.000).

Number 1: theoretical density 8639 kg/m3, total DFT energy (no corrections) -6.91 eV/atom, magnetic moment 0.000 μB per formula unit. Number 2: theoretical density 5046 kg/m3, total DFT energy (no corrections) -2.64 eV/atom, magnetic moment 0.000 μB per formula unit. Number 3: theoretical density 2723 kg/m3, total DFT energy (no corrections) -2.81 eV/atom, magnetic moment 0.000 μB per formula unit.